# AcLaNd5Tm2

An optimized crystal structure of AcLaNd5Tm2 (PBE-GGA, Alexandria via LeMat-Bulk).

abc: 12.3752 12.3752 9.6280
angles: 90.00 90.00 153.58
Last column: nearest neighbours and their distance in Å.
Fractional coordinates of all 18 atoms:
1 Ac 0.1031 0.8969 0.5000  5 Nd 3.39-3.75
2 Ac 0.8969 0.1031 0.0000  5 Nd 3.39-3.75
3 La 0.2690 0.7310 0.8895  3 Nd 3.13-3.34
4 La 0.7310 0.2690 0.3895  3 Nd 3.13-3.34
5 Nd 0.0255 0.9745 0.1706  3 Nd 3.30-3.60, 2 Ac 3.51-3.68, 2 Tm 3.54
6 Nd 0.1033 0.8967 0.8891  4 Nd 3.30-3.68, 4 Tm 3.51-3.64
7 Nd 0.1865 0.8135 0.1918  3 Tm 3.41-3.47, 3 Nd 3.52-3.54, 3 La 3.52-3.57, 1 Ac 3.58
8 Nd 0.2408 0.7592 0.5720  3 La 3.13-3.34, 1 Ac 3.39
9 Nd 0.4941 0.5059 0.3886  2 Tm 3.43-3.80, 4 Nd 3.60-3.68
10 Nd 0.5059 0.4941 0.8886  2 Tm 3.43-3.80, 4 Nd 3.60-3.68
11 Nd 0.7592 0.2408 0.0720  3 La 3.13-3.34, 1 Ac 3.39
12 Nd 0.8135 0.1865 0.6918  3 Tm 3.41-3.47, 3 Nd 3.52-3.54, 3 La 3.52-3.57, 1 Ac 3.58
13 Nd 0.8967 0.1033 0.3891  4 Nd 3.30-3.68, 4 Tm 3.51-3.64
14 Nd 0.9745 0.0255 0.6706  3 Nd 3.30-3.60, 2 Ac 3.51-3.68, 2 Tm 3.54
15 Tm 0.3280 0.6720 0.2578  6 Nd 3.47-3.73, 3 La 3.82-3.88, 1 Tm 3.83
16 Tm 0.3882 0.6118 0.6261  9 Nd 3.41-3.80
17 Tm 0.6118 0.3882 0.1261  9 Nd 3.41-3.80
18 Tm 0.6720 0.3280 0.7578  6 Nd 3.47-3.73, 3 La 3.82-3.88, 1 Tm 3.83

M_tot, μB/f.u.: 0.00
SG: Cmc2_1, No. 36
E_tot, eV/atom: -4.504
Formation energy, eV per atom: 0.142